# Y6Te3PtSe2

A relaxed structure of Y6Te3PtSe2 (GGA-PBE, Alexandria).

Unit cell a=18.6903 b=4.1542 c=8.6719 alpha=90.00 beta=104.29 gamma=90.00
Space group C2/m (No. 12)
One atom of each set of equivalent atoms:
Y: 0.0023 0.0000 0.2200 x4
Y: 0.1564 0.5000 0.0935 x4
Y: 0.1718 0.5000 0.5675 x4
Te: 0.0000 0.5000 0.5000 x2
Te: 0.1716 0.0000 0.8312 x4
Pt: 0.0000 0.5000 0.0000 x2
Se: 0.1677 0.0000 0.3355 x4

Calculated values
calculated density = 6460 kg/m3
E_tot = -0.4840 Ry/atom
size of the total moment = 0.0 μB/f.u.
density of states at the Fermi level = 6.33 states/eV/f.u.
formation energy without anion corrections = -1.48 eV per atom


# Y4Te2PtSe

A relaxed structure of Y4Te2PtSe (GGA-PBE, Alexandria).

Unit cell a=7.4270 b=4.1497 c=7.5022 alpha=90.00 beta=108.66 gamma=90.00
Space group P2/m (No. 10)
One atom of each set of equivalent atoms:
Y: 0.2232 0.0000 0.2117 x2
Y: 0.2515 0.5000 0.7764 x2
Te: 0.0000 0.0000 0.5000 x1
Te: 0.5000 0.5000 0.5000 x1
Pt: 0.0000 0.5000 0.0000 x1
Se: 0.5000 0.0000 0.0000 x1

Calculated values
calculated density = 6708 kg/m3
E_tot = -0.4881 Ry/atom
size of the total moment = 0.0 μB/f.u.
density of states at the Fermi level = 4.81 states/eV/f.u.
formation energy without anion corrections = -1.43 eV per atom


# Y6Te3Pt2Se

A relaxed structure of Y6Te3Pt2Se (GGA-PBE, Alexandria).

Unit cell a=7.2424 b=12.5843 c=7.6307 alpha=90.00 beta=108.43 gamma=90.00
Space group C2/m (No. 12)
One atom of each set of equivalent atoms:
Y: 0.2243 0.0000 0.2159 x4
Y: 0.2472 0.3263 0.2176 x8
Te: 0.0000 0.0000 0.5000 x2
Te: 0.0000 0.3392 0.5000 x4
Pt: 0.0000 0.1679 0.0000 x4
Se: 0.0000 0.5000 0.0000 x2

Calculated values
calculated density = 6973 kg/m3
E_tot = -0.4925 Ry/atom
size of the total moment = 0.0 μB/f.u.
density of states at the Fermi level = 6.34 states/eV/f.u.
formation energy without anion corrections = -1.39 eV per atom


What did the second record say?
# Y4Te2PtSe

A relaxed structure of Y4Te2PtSe (GGA-PBE, Alexandria).

Unit cell a=7.4270 b=4.1497 c=7.5022 alpha=90.00 beta=108.66 gamma=90.00
Space group P2/m (No. 10)
One atom of each set of equivalent atoms:
Y: 0.2232 0.0000 0.2117 x2
Y: 0.2515 0.5000 0.7764 x2
Te: 0.0000 0.0000 0.5000 x1
Te: 0.5000 0.5000 0.5000 x1
Pt: 0.0000 0.5000 0.0000 x1
Se: 0.5000 0.0000 0.0000 x1

Calculated values
calculated density = 6708 kg/m3
E_tot = -0.4881 Ry/atom
size of the total moment = 0.0 μB/f.u.
density of states at the Fermi level = 4.81 states/eV/f.u.
formation energy without anion corrections = -1.43 eV per atom


> Among the records above, which one has the lowest E_tot?

Y6Te3Pt2Se